(1)
# Ba3Na2C4N8, PBEsol geometry, DFT meta-GGA SCAN
# Magnetization, μB/atom: 0.000
# Raw formation energy, eV/atom: -0.86
# DFT total energy, eV for the cell shown: -1025.427
data_Ba3Na2C4N8
_space_group_name_H-M_alt 'P 1'
_space_group_IT_number 1
_space_group_name_Hall 'P 1'
_cell_length_a 6.276
_cell_length_b 10.001
_cell_length_c 16.575
_cell_angle_alpha 90.00
_cell_angle_beta 89.65
_cell_angle_gamma 90.00
loop_
_atom_site_label
_atom_site_fract_x
_atom_site_fract_y
_atom_site_fract_z
_atom_site_occupancy
Ba1 0.749 0.373 0.357 1
Ba2 0.761 0.311 0.007 1
Ba3 0.739 0.819 0.846 1
Ba4 0.739 0.811 0.493 1
Ba5 0.761 0.319 0.654 1
Ba6 0.261 0.189 0.507 1
Ba7 0.261 0.181 0.154 1
Ba8 0.239 0.681 0.346 1
Ba9 0.239 0.689 0.993 1
Ba10 0.751 0.873 0.143 1
Ba11 0.249 0.127 0.857 1
Ba12 0.251 0.627 0.643 1
Na1 0.939 0.979 0.669 1
Na2 0.561 0.479 0.831 1
Na3 0.565 0.024 0.330 1
Na4 0.439 0.521 0.169 1
Na5 0.065 0.476 0.830 1
Na6 0.061 0.021 0.331 1
Na7 0.435 0.976 0.670 1
Na8 0.935 0.524 0.170 1
N1 0.833 0.576 0.723 1
N2 0.445 0.617 0.489 1
N3 0.341 0.379 0.727 1
N4 0.164 0.725 0.162 1
N5 0.841 0.121 0.227 1
N6 0.662 0.622 0.065 1
N7 0.162 0.878 0.565 1
N8 0.945 0.883 0.989 1
N9 0.167 0.424 0.277 1
N10 0.330 0.673 0.824 1
N11 0.838 0.122 0.435 1
N12 0.170 0.173 0.676 1
N13 0.555 0.078 0.054 1
N14 0.664 0.775 0.662 1
N15 0.667 0.076 0.777 1
N16 0.671 0.081 0.569 1
N17 0.329 0.919 0.431 1
N18 0.670 0.327 0.176 1
N19 0.945 0.578 0.446 1
N20 0.336 0.225 0.338 1
N21 0.055 0.117 0.011 1
N22 0.159 0.879 0.773 1
N23 0.445 0.922 0.946 1
N24 0.555 0.383 0.511 1
N25 0.171 0.419 0.069 1
N26 0.836 0.275 0.838 1
N27 0.830 0.827 0.324 1
N28 0.333 0.924 0.223 1
N29 0.338 0.378 0.935 1
N30 0.659 0.621 0.273 1
N31 0.829 0.581 0.931 1
N32 0.055 0.422 0.554 1
C1 0.749 0.674 0.691 1
C2 0.744 0.722 0.300 1
C3 0.751 0.174 0.809 1
C4 0.255 0.395 0.002 1
C5 0.251 0.326 0.309 1
C6 0.249 0.826 0.191 1
C7 0.000 0.500 0.500 1
C8 0.756 0.222 0.200 1
C9 0.256 0.278 0.700 1
C10 0.000 0.000 0.000 1
C11 0.500 0.500 0.500 1
C12 0.500 0.000 0.000 1
C13 0.245 0.895 0.498 1
C14 0.244 0.778 0.800 1
C15 0.755 0.105 0.502 1
C16 0.745 0.605 0.998 1

(2)
# Ba2NbCN, PBEsol geometry, DFT meta-GGA SCAN
# Magnetization, μB/atom: 0.400
# Raw formation energy, eV/atom: 0.86
# DFT total energy, eV for the cell shown: -127.337
data_Ba2NbCN
_space_group_name_H-M_alt 'P 1'
_space_group_IT_number 1
_space_group_name_Hall 'P 1'
_cell_length_a 4.172
_cell_length_b 5.552
_cell_length_c 5.552
_cell_angle_alpha 90.00
_cell_angle_beta 90.00
_cell_angle_gamma 90.00
loop_
_atom_site_label
_atom_site_fract_x
_atom_site_fract_y
_atom_site_fract_z
_atom_site_occupancy
Ba1 0.000 0.500 0.000 1
Ba2 0.000 0.000 0.500 1
Nb1 0.500 0.000 0.000 1
C1 0.000 0.000 0.000 1
N1 0.500 0.500 0.500 1

(3)
# Rb2BaPt2C8N8, PBEsol geometry, DFT meta-GGA SCAN
# Magnetization, μB/atom: 0.000
# Raw formation energy, eV/atom: -0.29
# DFT total energy, eV for the cell shown: -382.592
data_Rb2BaPt2C8N8
_space_group_name_H-M_alt 'P 1'
_space_group_IT_number 1
_space_group_name_Hall 'P 1'
_cell_length_a 6.869
_cell_length_b 7.794
_cell_length_c 7.794
_cell_angle_alpha 90.00
_cell_angle_beta 90.00
_cell_angle_gamma 90.00
loop_
_atom_site_label
_atom_site_fract_x
_atom_site_fract_y
_atom_site_fract_z
_atom_site_occupancy
Rb1 0.500 0.500 0.000 1
Rb2 0.500 0.000 0.500 1
C1 0.758 0.179 0.821 1
C2 0.242 0.179 0.179 1
C3 0.758 0.821 0.821 1
C4 0.242 0.821 0.179 1
C5 0.758 0.179 0.179 1
C6 0.242 0.821 0.821 1
C7 0.758 0.821 0.179 1
C8 0.242 0.179 0.821 1
N1 0.762 0.285 0.285 1
N2 0.762 0.715 0.285 1
N3 0.238 0.715 0.715 1
N4 0.762 0.715 0.715 1
N5 0.238 0.285 0.285 1
N6 0.238 0.285 0.715 1
N7 0.762 0.285 0.715 1
N8 0.238 0.715 0.285 1
Pt1 0.245 0.000 0.000 1
Pt2 0.755 0.000 0.000 1
Ba1 0.000 0.500 0.500 1

(4)
# BaNaC2, PBEsol geometry, DFT meta-GGA SCAN
# Magnetization, μB/atom: 0.000
# DFT total energy, eV for the cell shown: -114.548
data_BaNaC2
_space_group_name_H-M_alt 'P 1'
_space_group_IT_number 1
_space_group_name_Hall 'P 1'
_cell_length_a 4.193
_cell_length_b 4.193
_cell_length_c 8.664
_cell_angle_alpha 104.00
_cell_angle_beta 104.00
_cell_angle_gamma 90.00
loop_
_atom_site_label
_atom_site_fract_x
_atom_site_fract_y
_atom_site_fract_z
_atom_site_occupancy
Na1 0.750 0.250 0.500 1
Na2 0.500 0.500 0.000 1
Ba1 0.250 0.750 0.500 1
Ba2 0.000 0.000 0.000 1
C1 0.625 0.375 0.750 1
C2 0.625 0.875 0.250 1
C3 0.625 0.375 0.250 1
C4 0.125 0.375 0.750 1

(5)
# Ba3Na3C5O15, PBEsol geometry, DFT meta-GGA SCAN
# Magnetization, μB/atom: 0.042
# Raw formation energy, eV/atom: -2.13
# DFT total energy, eV for the cell shown: -661.530
data_Ba3Na3C5O15
_space_group_name_H-M_alt 'P 1'
_space_group_IT_number 1
_space_group_name_Hall 'P 1'
_cell_length_a 6.813
_cell_length_b 10.812
_cell_length_c 10.812
_cell_angle_alpha 120.00
_cell_angle_beta 90.00
_cell_angle_gamma 90.00
loop_
_atom_site_label
_atom_site_fract_x
_atom_site_fract_y
_atom_site_fract_z
_atom_site_occupancy
O1 0.798 0.298 0.389 1
O2 0.528 0.226 0.774 1
O3 0.298 0.910 0.611 1
O4 0.298 0.910 0.298 1
O5 0.666 0.805 0.403 1
O6 0.028 0.774 0.547 1
O7 0.997 0.931 0.862 1
O8 0.497 0.069 0.931 1
O9 0.798 0.611 0.702 1
O10 0.528 0.226 0.453 1
O11 0.298 0.389 0.090 1
O12 0.798 0.090 0.702 1
O13 0.497 0.862 0.931 1
O14 0.166 0.403 0.805 1
O15 0.166 0.403 0.597 1
O16 0.528 0.547 0.774 1
O17 0.798 0.611 0.910 1
O18 0.028 0.774 0.226 1
O19 0.666 0.597 0.195 1
O20 0.166 0.195 0.597 1
O21 0.028 0.453 0.226 1
O22 0.298 0.702 0.611 1
O23 0.298 0.389 0.298 1
O24 0.298 0.702 0.090 1
O25 0.798 0.298 0.910 1
O26 0.997 0.931 0.069 1
O27 0.997 0.138 0.069 1
O28 0.798 0.090 0.389 1
O29 0.666 0.597 0.403 1
O30 0.497 0.069 0.138 1
C1 0.707 0.205 0.795 1
C2 0.207 0.411 0.205 1
C3 0.494 0.000 0.000 1
C4 0.707 0.589 0.795 1
C5 0.666 0.667 0.333 1
C6 0.207 0.795 0.589 1
C7 0.707 0.205 0.411 1
C8 0.994 0.000 0.000 1
C9 0.166 0.333 0.667 1
C10 0.207 0.795 0.205 1
Ba1 0.170 0.683 0.841 1
Ba2 0.670 0.841 0.159 1
Ba3 0.670 0.317 0.159 1
Ba4 0.170 0.159 0.317 1
Ba5 0.170 0.159 0.841 1
Ba6 0.670 0.841 0.683 1
Na1 0.472 0.048 0.524 1
Na2 0.472 0.476 0.524 1
Na3 0.972 0.524 0.048 1
Na4 0.472 0.476 0.952 1
Na5 0.972 0.952 0.476 1
Na6 0.972 0.524 0.476 1

(6)
# BaNa3PCO7, PBEsol geometry, DFT meta-GGA SCAN
# Magnetization, μB/atom: 0.000
# Raw formation energy, eV/atom: -2.40
# DFT total energy, eV for the cell shown: -295.059
data_BaNa3PCO7
_space_group_name_H-M_alt 'P 1'
_space_group_IT_number 1
_space_group_name_Hall 'P 1'
_cell_length_a 5.518
_cell_length_b 7.118
_cell_length_c 9.201
_cell_angle_alpha 90.00
_cell_angle_beta 92.69
_cell_angle_gamma 90.00
loop_
_atom_site_label
_atom_site_fract_x
_atom_site_fract_y
_atom_site_fract_z
_atom_site_occupancy
O1 0.456 0.241 0.305 1
O2 0.108 0.104 0.751 1
O3 0.272 0.721 0.400 1
O4 0.746 0.797 0.909 1
O5 0.884 0.401 0.821 1
O6 0.623 0.165 0.095 1
O7 0.116 0.901 0.179 1
O8 0.126 0.391 0.592 1
O9 0.254 0.297 0.091 1
O10 0.728 0.221 0.600 1
O11 0.874 0.891 0.408 1
O12 0.544 0.741 0.695 1
O13 0.892 0.604 0.249 1
O14 0.377 0.665 0.905 1
Na1 0.482 0.475 0.501 1
Na2 0.537 0.805 0.146 1
Na3 0.463 0.305 0.854 1
Na4 0.518 0.975 0.499 1
Na5 0.031 0.568 0.018 1
Na6 0.969 0.068 0.982 1
P1 0.960 0.276 0.693 1
P2 0.040 0.776 0.307 1
Ba1 0.039 0.747 0.672 1
Ba2 0.961 0.247 0.328 1
C1 0.444 0.235 0.163 1
C2 0.556 0.735 0.837 1

(7)
# Ba2NiSbC, PBEsol geometry, DFT meta-GGA SCAN
# Magnetization, μB/atom: 0.000
# Raw formation energy, eV/atom: -0.17
# DFT total energy, eV for the cell shown: -143.503
data_Ba2NiSbC
_space_group_name_H-M_alt 'P 1'
_space_group_IT_number 1
_space_group_name_Hall 'P 1'
_cell_length_a 3.597
_cell_length_b 6.094
_cell_length_c 6.094
_cell_angle_alpha 90.00
_cell_angle_beta 90.00
_cell_angle_gamma 90.00
loop_
_atom_site_label
_atom_site_fract_x
_atom_site_fract_y
_atom_site_fract_z
_atom_site_occupancy
Ba1 0.000 0.000 0.500 1
Ba2 0.000 0.500 0.000 1
Sb1 0.500 0.500 0.500 1
Ni1 0.000 0.000 0.000 1
C1 0.500 0.000 0.000 1

(8)
# BaCO3, PBEsol geometry, DFT meta-GGA SCAN
# Magnetization, μB/atom: 0.000
# Raw formation energy, eV/atom: -2.38
# DFT total energy, eV for the cell shown: -160.498
data_BaCO3
_space_group_name_H-M_alt 'P 1'
_space_group_IT_number 1
_space_group_name_Hall 'P 1'
_cell_length_a 4.109
_cell_length_b 5.399
_cell_length_c 7.186
_cell_angle_alpha 90.00
_cell_angle_beta 90.00
_cell_angle_gamma 90.00
loop_
_atom_site_label
_atom_site_fract_x
_atom_site_fract_y
_atom_site_fract_z
_atom_site_occupancy
O1 0.001 0.361 0.346 1
O2 0.000 0.727 0.500 1
O3 0.500 0.227 0.000 1
O4 0.999 0.361 0.654 1
O5 0.501 0.861 0.154 1
O6 0.499 0.861 0.846 1
C1 0.500 0.989 0.000 1
C2 0.000 0.489 0.500 1
Ba1 0.500 0.052 0.500 1
Ba2 0.000 0.552 0.000 1

(9)
# BaCO3, PBEsol geometry, DFT meta-GGA SCAN
# Magnetization, μB/atom: 0.000
# Raw formation energy, eV/atom: -2.42
# DFT total energy, eV for the cell shown: -80.468
data_BaCO3
_space_group_name_H-M_alt 'P 1'
_space_group_IT_number 1
_space_group_name_Hall 'P 1'
_cell_length_a 4.316
_cell_length_b 4.316
_cell_length_c 4.316
_cell_angle_alpha 76.35
_cell_angle_beta 76.35
_cell_angle_gamma 76.35
loop_
_atom_site_label
_atom_site_fract_x
_atom_site_fract_y
_atom_site_fract_z
_atom_site_occupancy
C1 0.532 0.532 0.532 1
O1 0.395 0.816 0.395 1
O2 0.395 0.395 0.816 1
O3 0.816 0.395 0.395 1
Ba1 0.975 0.975 0.975 1